[1]
HoSCl: relaxed, PBE.

ρ	5.3	g/cm3
uncorrected energy	-0.4176	Ry per atom
V	292.4	Å³/cell

a = 6.6138 Å, b = 6.6564 Å, c = 6.7616 Å
α = 90.00°, β = 100.77°, γ = 90.00°
Element x y z (fractional)
Ho  0.1881  0.0440  0.2937
Ho  0.1881  0.4560  0.7937
Ho  0.8119  0.5440  0.2063
Ho  0.8119  0.9560  0.7063
S  0.0630  0.7417  0.5114
S  0.0630  0.7583  0.0114
S  0.9370  0.2417  0.9886
S  0.9370  0.2583  0.4886
Cl  0.4351  0.1618  0.6651
Cl  0.4351  0.3382  0.1651
Cl  0.5649  0.6618  0.8349
Cl  0.5649  0.8382  0.3349



[2]
HoSCl: relaxed, PBE.

ρ	6.2	g/cm3
uncorrected energy	-0.4029	Ry per atom
V	124.0	Å³/cell

a = 4.1163 Å, b = 4.1163 Å, c = 7.3200 Å
α = 90.00°, β = 90.00°, γ = 90.00°
Element x y z (fractional)
Ho  0.2500  0.2500  0.2330
Ho  0.7500  0.7500  0.7670
S  0.2500  0.2500  0.8623
S  0.7500  0.7500  0.1377
Cl  0.2500  0.7500  0.5000
Cl  0.7500  0.2500  0.5000



[3]
HoSCl3: relaxed, PBE.

ρ	3.2	g/cm3
uncorrected energy	-0.3237	Ry per atom
energy above the most stable polymorph in this dataset	162	meV per atom
V	314.4	Å³/cell

a = 7.3610 Å, b = 7.3610 Å, c = 6.8156 Å
α = 90.64°, β = 90.64°, γ = 121.63°
Element x y z (fractional)
Ho  0.1861  0.8139  0.0000
Ho  0.8139  0.1861  0.0000
S  0.0767  0.0767  0.1684
S  0.9233  0.9233  0.8316
Cl  0.0828  0.4908  0.7650
Cl  0.3349  0.3349  0.3211
Cl  0.4908  0.0828  0.7650
Cl  0.5092  0.9172  0.2350
Cl  0.6651  0.6651  0.6789
Cl  0.9172  0.5092  0.2350



[4]
HoS3Cl: relaxed, PBE.

ρ	3.2	g/cm3
uncorrected energy	-0.3429	Ry per atom
energy above the most stable polymorph in this dataset	214	meV per atom
V	310.4	Å³/cell

a = 8.1424 Å, b = 8.1424 Å, c = 7.7286 Å
α = 90.29°, β = 90.29°, γ = 142.71°
Element x y z (fractional)
Ho  0.1556  0.8444  0.0000
Ho  0.8444  0.1556  0.0000
S  0.0226  0.0226  0.1662
S  0.3240  0.6741  0.8617
S  0.3259  0.6760  0.1383
S  0.6741  0.3240  0.8617
S  0.6760  0.3259  0.1383
S  0.9774  0.9774  0.8338
Cl  0.2724  0.2724  0.3816
Cl  0.7276  0.7276  0.6184



Q: Among the records above, which one has the highest V?
A: HoSCl3



Q: Which formula does entry 1 have?
A: HoSCl



Q: Which of these has the highest ρ?
A: number 2



Q: V of number 1 (HoSCl)?
A: 292.4 Å³/cell